Record 1
Material: Co4NiPt5
Method: DFT, PBE-GGA
State: relaxed

formation enthalpy at 0 K	-0.09	eV per atom

abc: 2.7095 2.7095 18.4226
angles: 90.00 90.00 90.00
With the nearest neighbours (Å) after each atom.
Sites, in units of the cell vectors:
Co 0.0000 0.0000 0.1993  8 Pt 2.64-2.66, 4 Co 2.71
Co 0.0000 0.0000 0.3991  8 Pt 2.65-2.67, 4 Co 2.71
Co 0.0000 0.0000 0.6009  8 Pt 2.65-2.67, 4 Co 2.71
Co 0.0000 0.0000 0.8007  8 Pt 2.64-2.66, 4 Co 2.71
Ni 0.0000 0.0000 0.0000  8 Pt 2.67, 4 Ni 2.71
Pt 0.5000 0.5000 0.1009  4 Co 2.64, 4 Ni 2.67, 4 Pt 2.71
Pt 0.5000 0.5000 0.2998  8 Co 2.65-2.66, 4 Pt 2.71
Pt 0.5000 0.5000 0.5000  8 Co 2.67, 4 Pt 2.71
Pt 0.5000 0.5000 0.7002  8 Co 2.65-2.66, 4 Pt 2.71
Pt 0.5000 0.5000 0.8991  4 Co 2.64, 4 Ni 2.67, 4 Pt 2.71

=====

Record 2
Material: Mg2GeHIr
Method: DFT, PBE-GGA
State: relaxed

ΔE to the lowest computed polymorph	0	meV per atom

abc: 4.2597 4.2597 3.7873
angles: 90.00 90.00 90.00
With the nearest neighbours (Å) after each atom.
Sites, in units of the cell vectors:
H 0.0000 0.0000 0.0000  2 Ir 1.89
Ge 0.5000 0.5000 0.5000  8 Mg 2.85, 4 Ir 3.01
Ir 0.0000 0.0000 0.5000  2 H 1.89
Mg 0.0000 0.5000 0.0000  2 H 2.13
Mg 0.5000 0.0000 0.0000  2 H 2.13

=====

Record 3
Material: ZnInPb2
Method: DFT, PBE-GGA
State: relaxed

formation enthalpy at 0 K	0.12	eV per atom

abc: 6.3307 6.3307 6.3307
angles: 146.80 127.43 63.60
With the nearest neighbours (Å) after each atom.
Sites, in units of the cell vectors:
In 0.2500 0.7500 0.5000  4 Zn 3.34, 8 Pb 3.50-3.68, 2 In 3.62
Pb 0.9714 0.9714 0.0000  2 Zn 2.99
Pb 0.5286 0.5286 0.0000  2 Zn 2.99
Zn 0.7500 0.2500 0.5000  4 Pb 2.99, 4 In 3.34

=====

Record 4
Material: La2CdGa12
Method: DFT, PBE-GGA
State: relaxed

formation enthalpy at 0 K	-0.29	eV per atom

abc: 6.0810 6.0810 17.1309
angles: 90.00 90.00 90.00
With the nearest neighbours (Å) after each atom.
Sites, in units of the cell vectors:
La 0.5000 0.0000 0.2723  14 Ga 3.19-3.53
La 0.0000 0.5000 0.2723  14 Ga 3.19-3.53
La 0.0000 0.5000 0.7277  14 Ga 3.19-3.53
La 0.5000 0.0000 0.7277  14 Ga 3.19-3.53
Cd 0.5000 0.0000 0.0000  8 Ga 2.85-2.86
Cd 0.0000 0.5000 0.0000  8 Ga 2.85-2.86
Ga 0.5000 0.5000 0.8002  5 Ga 2.54-2.65
Ga 0.0000 0.0000 0.8002  5 Ga 2.54-2.65
Ga 0.7508 0.7492 0.8906  2 Ga 2.65, 2 Cd 2.85-2.86
Ga 0.2508 0.7508 0.8906  2 Ga 2.65, 2 Cd 2.85-2.86
Ga 0.0000 0.0000 0.3481  5 Ga 2.54-2.64
Ga 0.2492 0.7492 0.1094  2 Ga 2.65, 2 Cd 2.85-2.86
Ga 0.8111 0.3111 0.5675  3 Ga 2.54-2.64
Ga 0.5000 0.5000 0.3481  5 Ga 2.54-2.64
Ga 0.2492 0.2508 0.8906  2 Ga 2.65, 2 Cd 2.85-2.86
Ga 0.7492 0.7508 0.1094  2 Ga 2.65, 2 Cd 2.85-2.86
Ga 0.3111 0.1889 0.5675  3 Ga 2.54-2.64
Ga 0.6889 0.1889 0.4325  3 Ga 2.54-2.64
Ga 0.0000 0.0000 0.6519  5 Ga 2.54-2.64
Ga 0.1889 0.3111 0.4325  3 Ga 2.54-2.64
Ga 0.2508 0.2492 0.1094  2 Ga 2.65, 2 Cd 2.85-2.86
Ga 0.8111 0.6889 0.4325  3 Ga 2.54-2.64
Ga 0.6889 0.8111 0.5675  3 Ga 2.54-2.64
Ga 0.0000 0.0000 0.1998  5 Ga 2.54-2.65
Ga 0.1889 0.6889 0.5675  3 Ga 2.54-2.64
Ga 0.5000 0.5000 0.6519  5 Ga 2.54-2.64
Ga 0.7492 0.2492 0.8906  2 Ga 2.65, 2 Cd 2.85-2.86
Ga 0.5000 0.5000 0.1998  5 Ga 2.54-2.65
Ga 0.3111 0.8111 0.4325  3 Ga 2.54-2.64
Ga 0.7508 0.2508 0.1094  2 Ga 2.65, 2 Cd 2.85-2.86

=====

Record 5
Material: P2RhAuSe
Method: DFT, PBE-GGA
State: relaxed

ΔE_f (raw)	1.08	eV per atom

abc: 4.7407 4.5912 4.7407
angles: 90.00 90.00 90.00
With the nearest neighbours (Å) after each atom.
Sites, in units of the cell vectors:
Rh 0.0000 0.5000 0.0000  2 Se 2.30
Au 0.5000 0.5000 0.5000  8 P 3.30, 4 Rh 3.35
Se 0.0000 0.0000 0.0000  2 Rh 2.30, 4 P 2.37
P 0.0000 0.0000 0.5000  2 Se 2.37
P 0.5000 0.0000 0.0000  2 Se 2.37

=====

Record 6
Material: La5Pm2Ho2
Method: DFT, PBE-GGA
State: relaxed

ΔE to the lowest computed polymorph	0	meV per atom
formation enthalpy at 0 K	0.02	eV per atom

abc: 6.3760 3.6802 16.7842
angles: 83.64 86.44 125.29
With the nearest neighbours (Å) after each atom.
Sites, in units of the cell vectors:
La 0.4417 0.8848 0.1156  1 Ho 3.60, 4 Pm 3.67, 7 La 3.68-3.81
La 0.5583 0.1152 0.8844  1 Ho 3.60, 4 Pm 3.67, 7 La 3.68-3.81
La 0.2230 0.4451 0.5553  1 Pm 3.60, 5 Ho 3.65-3.68, 6 La 3.67-3.68
La 0.7770 0.5549 0.4447  1 Pm 3.60, 5 Ho 3.65-3.68, 6 La 3.67-3.68
La 0.0000 0.0000 0.0000  10 La 3.68-3.72, 2 Pm 3.73
Pm 0.1135 0.2257 0.7737  6 La 3.60-3.73, 4 Ho 3.65, 2 Pm 3.68
Pm 0.8865 0.7743 0.2263  6 La 3.60-3.73, 4 Ho 3.65, 2 Pm 3.68
Ho 0.6673 0.3339 0.6660  6 La 3.60-3.68, 4 Pm 3.65, 2 Ho 3.68
Ho 0.3327 0.6661 0.3340  6 La 3.60-3.68, 4 Pm 3.65, 2 Ho 3.68

=====

Record 7
Material: PrSm7Tm2
Method: DFT, PBE-GGA
State: relaxed

ΔE to the lowest computed polymorph	0	meV per atom
formation enthalpy at 0 K	0.04	eV per atom

abc: 5.5488 9.0006 9.6067
angles: 117.98 106.76 51.94
With the nearest neighbours (Å) after each atom.
Sites, in units of the cell vectors:
Pr 0.0000 0.0000 0.0000  12 Sm 3.39-3.79
Sm 0.9998 0.8002 0.6003  4 Tm 3.26-3.54, 1 Pr 3.39, 4 Sm 3.63-3.64
Sm 0.0002 0.1998 0.3997  4 Tm 3.26-3.54, 1 Pr 3.39, 4 Sm 3.63-3.64
Sm 0.7512 0.6381 0.7796  8 Sm 3.51-3.78, 3 Tm 3.62-3.69, 2 Pr 3.79
Sm 0.2488 0.3619 0.2204  8 Sm 3.51-3.78, 3 Tm 3.62-3.69, 2 Pr 3.79
Sm 0.7523 0.8577 0.2202  8 Sm 3.51-3.78, 3 Tm 3.61-3.69, 2 Pr 3.79
Sm 0.2477 0.1423 0.7798  8 Sm 3.51-3.78, 3 Tm 3.61-3.69, 2 Pr 3.79
Sm 0.5000 0.5000 0.0000  2 Tm 3.38, 2 Pr 3.54, 8 Sm 3.78
Tm 0.5002 0.6994 0.3988  9 Sm 3.26-3.62
Tm 0.4998 0.3006 0.6012  9 Sm 3.26-3.62

=====

Record 8
Material: CuSb3N
Method: DFT, PBE-GGA
State: relaxed

ΔE to the lowest computed polymorph	806	meV per atom
ΔE_f (raw)	1.53	eV per atom

abc: 4.9792 4.9792 4.9792
angles: 90.00 90.00 90.00
With the nearest neighbours (Å) after each atom.
Sites, in units of the cell vectors:
Sb 0.0000 0.5000 0.0000  2 Cu 2.49
Sb 0.0000 0.0000 0.5000  2 Cu 2.49
Sb 0.5000 0.0000 0.0000  2 Cu 2.49
Cu 0.0000 0.0000 0.0000  6 Sb 2.49
N 0.5000 0.5000 0.5000  12 Sb 3.52

=====

Record 9
Material: Ca2PuAl2P4
Method: DFT, PBE-GGA
State: relaxed

formation enthalpy at 0 K	-0.88	eV per atom

abc: 3.9357 6.9510 7.5896
angles: 107.18 105.03 90.00
With the nearest neighbours (Å) after each atom.
Sites, in units of the cell vectors:
Ca 0.1256 0.5497 0.2512  7 P 2.98-3.14
Ca 0.8744 0.4503 0.7488  7 P 2.98-3.14
Pu 0.0000 0.0000 0.0000  6 P 2.80-3.02
Al 0.6716 0.9893 0.3431  4 P 2.36-2.46
Al 0.3284 0.0107 0.6569  4 P 2.36-2.46
P 0.2138 0.2059 0.4277  3 Al 2.44-2.46
P 0.7862 0.7941 0.5723  3 Al 2.44-2.46
P 0.5232 0.7312 0.0464  1 Al 2.36
P 0.4768 0.2688 0.9536  1 Al 2.36

=====

Record 10
Material: PaBe17Nb
Method: DFT, PBE-GGA
State: relaxed

formation enthalpy at 0 K	-0.11	eV per atom

abc: 5.7183 5.7183 5.7183
angles: 82.80 82.80 82.80
With the nearest neighbours (Å) after each atom.
Sites, in units of the cell vectors:
Pa 0.6602 0.6602 0.6602  19 Be 2.74-2.92
Be 0.2828 0.0038 0.7137  6 Be 2.11-2.27
Be 0.7137 0.2828 0.0038  6 Be 2.11-2.27
Be 0.0038 0.7137 0.2828  6 Be 2.11-2.27
Be 0.2828 0.7137 0.0038  6 Be 2.11-2.27
Be 0.0038 0.2828 0.7137  6 Be 2.11-2.27
Be 0.7137 0.0038 0.2828  6 Be 2.11-2.27
Be 0.3391 0.8434 0.3391  9 Be 2.17-2.40
Be 0.3391 0.3391 0.8434  9 Be 2.17-2.40
Be 0.8434 0.3391 0.3391  9 Be 2.17-2.40
Be 0.6551 0.1600 0.6551  9 Be 2.19-2.39
Be 0.6551 0.6551 0.1600  9 Be 2.19-2.39
Be 0.1600 0.6551 0.6551  9 Be 2.19-2.39
Be 0.0017 0.4995 0.0017  10 Be 2.14-2.34
Be 0.0017 0.0017 0.4995  10 Be 2.14-2.34
Be 0.4995 0.0017 0.0017  10 Be 2.14-2.34
Be 0.9074 0.9074 0.9074  10 Be 2.13-2.38
Be 0.0997 0.0997 0.0997  7 Be 2.13-2.31
Nb 0.3374 0.3374 0.3374  19 Be 2.63-2.90